No. 1
First-principles (PBE) data for an optimized crystal structure of PrUTe6, as listed in Alexandria via LeMat-Bulk.

a b c (Å): 4.4628 13.6081 13.6081
angles (deg): 18.43 90.00 90.00
Positions (direct):
Pr  0.0000  0.0000  0.0000
U  0.5000  0.6587  0.6587
Te  0.0000  0.1249  0.1249
Te  0.0000  0.4049  0.4049
Te  0.0000  0.7452  0.7452
Te  0.5000  0.2458  0.2458
Te  0.5000  0.5382  0.5382
Te  0.5000  0.9055  0.9055

Total DFT energy (no corrections), eV/atom: -5.1346

No. 2
First-principles (PBE) data for an optimized crystal structure of PrUTe3, as listed in Alexandria via LeMat-Bulk.

a b c (Å): 8.3378 4.4127 17.4945
angles (deg): 90.00 90.00 90.00
Positions (direct):
Pr  0.1190  0.2500  0.2013
Pr  0.3810  0.7500  0.7013
Pr  0.6190  0.2500  0.2987
Pr  0.8810  0.7500  0.7987
U  0.2292  0.7500  0.4610
U  0.2708  0.2500  0.9610
U  0.7292  0.7500  0.0390
U  0.7708  0.2500  0.5390
Te  0.0018  0.2500  0.3939
Te  0.1183  0.7500  0.0650
Te  0.1672  0.2500  0.7850
Te  0.3328  0.7500  0.2850
Te  0.3817  0.2500  0.5650
Te  0.4982  0.7500  0.8939
Te  0.5018  0.2500  0.1061
Te  0.6183  0.7500  0.4350
Te  0.6672  0.2500  0.7150
Te  0.8328  0.7500  0.2150
Te  0.8817  0.2500  0.9350
Te  0.9982  0.7500  0.6061

Energy relative to the lowest polymorph listed for this composition, eV per atom: 0.000
Total DFT energy (no corrections), eV/atom: -6.1279

No. 3
First-principles (PBE) data for an optimized crystal structure of PrUTe, as listed in Alexandria via LeMat-Bulk.

a b c (Å): 8.6996 8.6996 5.3461
angles (deg): 99.64 99.64 25.25
Positions (direct):
Pr  0.0859  0.0859  0.2827
Pr  0.9141  0.9141  0.7173
U  0.2457  0.2457  0.8417
U  0.7543  0.7543  0.1583
Te  0.4118  0.4118  0.2130
Te  0.5882  0.5882  0.7870

Total DFT energy (no corrections), eV/atom: -6.9641

No. 4
First-principles (PBE) data for an optimized crystal structure of PrVTe, as listed in Alexandria via LeMat-Bulk.

a b c (Å): 4.4946 4.4946 8.7532
angles (deg): 106.43 106.43 83.91
Positions (direct):
Pr  0.1177  0.1177  0.2365
Pr  0.8823  0.8823  0.7635
V  0.3605  0.3605  0.0000
V  0.6395  0.6395  0.0000
Te  0.3338  0.3338  0.6661
Te  0.6662  0.6662  0.3339

Total DFT energy (no corrections), eV/atom: -6.1728

No. 5
First-principles (PBE) data for an optimized crystal structure of PrVTe2, as listed in Alexandria via LeMat-Bulk.

a b c (Å): 9.8655 9.8655 9.8655
angles (deg): 22.59 22.59 22.59
Positions (direct):
Pr  0.0000  0.0000  0.0000
V  0.5000  0.5000  0.5000
Te  0.1101  0.1101  0.1101
Te  0.8899  0.8899  0.8899

Total DFT energy (no corrections), eV/atom: -5.3207

No. 6
First-principles (PBE) data for an optimized crystal structure of PrYTe, as listed in Alexandria via LeMat-Bulk.

a b c (Å): 4.5120 4.5120 8.8111
angles (deg): 90.00 90.00 90.00
Positions (direct):
Pr  0.2500  0.2500  0.1406
Pr  0.7500  0.7500  0.8594
Y  0.2500  0.7500  0.5000
Y  0.7500  0.2500  0.5000
Te  0.2500  0.2500  0.7644
Te  0.7500  0.7500  0.2356

Energy relative to the lowest polymorph listed for this composition, eV per atom: 0.003
Total DFT energy (no corrections), eV/atom: -5.7159